[1]
This record from Alexandria describes a geometry-optimized Ba3LiNb2O8 structure. The functional is GGA-PBE.

Unit cell a=5.9762 b=5.9762 c=7.7700 alpha=90.00 beta=90.00 gamma=120.00
With the nearest neighbours (Å) after each atom.
Space group P-3m1 (No. 164)
Symmetry-distinct sites (fractional):
Ba  0.0000  0.0000  0.0000 [1 per cell]  6 O 2.98
Ba  0.3333  0.6667  0.6371 [2 per cell]  1 O 2.50
Li  0.0000  0.0000  0.5000 [1 per cell]  6 O 2.28
Nb  0.3333  0.6667  0.2014 [2 per cell]  4 O 1.89-1.91
O  0.1680  0.3361  0.3107 [6 per cell]  1 Nb 1.91
O  0.3333  0.6667  0.9586 [2 per cell]  1 Nb 1.89

Calculated values
The volume is 240 Å³/f.u. Its final energy is -7.360 eV per atom. As for the calculated density: 5.06 g/cm3.

---

[2]
This record from Alexandria describes a geometry-optimized ZrNbFePd structure. The functional is GGA-PBE.

Unit cell a=3.1876 b=4.1171 c=5.3797 alpha=90.00 beta=107.03 gamma=90.00
With the nearest neighbours (Å) after each atom.
Space group Pm (No. 6)
Symmetry-distinct sites (fractional):
Zr  0.0000  0.0000  0.0000 [1 per cell]  1 Fe 2.52, 4 Pd 2.71-2.72
Nb  0.2925  0.5000  0.5915 [1 per cell]  4 Fe 2.64, 3 Pd 2.77-2.87
Fe  0.7519  0.0000  0.5092 [1 per cell]  1 Zr 2.52, 4 Nb 2.64, 2 Pd 2.77
Pd  0.5739  0.5000  0.1502 [1 per cell]  4 Zr 2.71-2.72, 2 Fe 2.77, 3 Nb 2.77-2.87

Calculated values
The volume is 68 Å³/f.u. Its final energy is -8.280 eV per atom. The calculated formation energy is -212 meV/atom. As for the calculated density: 8.52 g/cm3.

---

[3]
This record from Alexandria describes a geometry-optimized Nd3Sm5Y structure. The functional is GGA-PBE.

Unit cell a=15.4515 b=11.6684 c=9.9697 alpha=90.00 beta=129.78 gamma=90.00
With the nearest neighbours (Å) after each atom.
Space group C2/m (No. 12)
Symmetry-distinct sites (fractional):
Nd  0.0000  0.0000  0.0000 [2 per cell]  2 Nd 3.10, 2 Y 3.38
Nd  0.0000  0.5000  0.5000 [2 per cell]  4 Sm 2.96-3.20
Nd  0.0059  0.0000  0.3167 [4 per cell]  1 Nd 3.10, 5 Sm 3.24-3.45, 1 Y 3.43
Nd  0.0155  0.5000  0.8524 [4 per cell]  1 Y 3.27, 2 Nd 3.27-3.36, 4 Sm 3.27-3.62
Sm  0.0000  0.2467  0.5000 [4 per cell]  1 Nd 2.96
Sm  0.1514  0.2479  0.2419 [8 per cell]  2 Sm 3.36-3.41, 2 Nd 3.53-3.62
Sm  0.2254  0.0000  0.7268 [4 per cell]  3 Nd 3.24-3.48, 3 Sm 3.27-3.41, 1 Y 3.41
Sm  0.2252  0.5000  0.5465 [4 per cell]  3 Nd 3.20-3.45, 3 Sm 3.27-3.36, 1 Y 3.38
Y  0.2474  0.5000  0.9061 [4 per cell]  4 Nd 3.27-3.43, 2 Sm 3.38-3.41

Calculated values
The volume is 345 Å³/f.u. Its final energy is -4.440 eV per atom. The calculated formation energy is 489 meV/atom. As for the calculated density: 6.12 g/cm3.

---

[4]
This record from Alexandria describes a geometry-optimized TaCuSi2 structure. The functional is GGA-PBE.

Unit cell a=2.8664 b=2.8664 c=24.7869 alpha=90.00 beta=90.00 gamma=120.00
With the nearest neighbours (Å) after each atom.
Space group R-3m (No. 166, hexagonal axes)
Symmetry-distinct sites (fractional):
Ta  0.0000  0.0000  0.0000 [3 per cell]  6 Si 2.75, 6 Ta 2.87
Cu  0.0000  0.0000  0.5000 [3 per cell]  6 Si 2.54
Si  0.0000  0.0000  0.2446 [6 per cell]  3 Cu 2.54, 3 Ta 2.75

Calculated values
The volume is 59 Å³/f.u. Its final energy is -6.679 eV per atom. As for the calculated density: 8.49 g/cm3.

---

[5]
This record from Alexandria describes a geometry-optimized Mg2Ti2In structure. The functional is GGA-PBE.

Unit cell a=3.6569 b=3.6569 c=16.6472 alpha=90.00 beta=90.00 gamma=90.00
With the nearest neighbours (Å) after each atom.
Space group I4/mmm (No. 139)
Symmetry-distinct sites (fractional):
Mg  0.0000  0.0000  0.1021 [4 per cell]  4 Ti 3.07, 4 In 3.09, 1 Mg 3.40
Ti  0.0000  0.5000  0.2500 [4 per cell]  4 Ti 2.59
In  0.0000  0.0000  0.5000 [2 per cell]  8 Mg 3.09

Calculated values
The volume is 111 Å³/f.u. Its final energy is -4.007 eV per atom. The calculated formation energy is 337 meV/atom. As for the calculated density: 3.87 g/cm3.

---

[6]
This record from Alexandria describes a geometry-optimized Sm3TlH structure. The functional is GGA-PBE.

Unit cell a=9.8457 b=15.6055 c=6.7291 alpha=90.00 beta=90.00 gamma=90.00
With the nearest neighbours (Å) after each atom.
Space group Cmce (No. 64)
Symmetry-distinct sites (fractional):
Sm  0.0000  0.0442  0.2492 [8 per cell]  2 H 2.35-2.37
Sm  0.0000  0.2402  0.5140 [8 per cell]  1 H 2.42
Sm  0.2500  0.1068  0.7500 [8 per cell]  2 H 2.71
Tl  0.2500  0.1697  0.2500 [8 per cell]  9 Sm 3.15-3.50
H  0.0000  0.0885  0.5865 [8 per cell]  3 Sm 2.35-2.42

Calculated values
The volume is 129 Å³/f.u. Its final energy is -4.191 eV per atom. As for the calculated density: 8.43 g/cm3.

---

Repeat the sixth record exactly.
This record from Alexandria describes a geometry-optimized Sm3TlH structure. The functional is GGA-PBE.

Unit cell a=9.8457 b=15.6055 c=6.7291 alpha=90.00 beta=90.00 gamma=90.00
With the nearest neighbours (Å) after each atom.
Space group Cmce (No. 64)
Symmetry-distinct sites (fractional):
Sm  0.0000  0.0442  0.2492 [8 per cell]  2 H 2.35-2.37
Sm  0.0000  0.2402  0.5140 [8 per cell]  1 H 2.42
Sm  0.2500  0.1068  0.7500 [8 per cell]  2 H 2.71
Tl  0.2500  0.1697  0.2500 [8 per cell]  9 Sm 3.15-3.50
H  0.0000  0.0885  0.5865 [8 per cell]  3 Sm 2.35-2.42

Calculated values
The volume is 129 Å³/f.u. Its final energy is -4.191 eV per atom. As for the calculated density: 8.43 g/cm3.